*one*
The following is a PBE-GGA calculation of an optimized crystal structure of K2TlF4, from Alexandria via LeMat-Bulk.

Symmetry: C2/m

Lattice parameters (Å, degrees): 3.557 7.233 6.885 125.58 104.97 90.00
Fractional positions:
K 0.649 0.611 0.299
K 0.351 0.389 0.701
Tl 0.000 0.000 0.000
F 0.960 0.272 0.919
F 0.040 0.728 0.081
F 0.659 0.234 0.318
F 0.341 0.766 0.682

---

*two*
The following is a PBE-GGA calculation of an optimized crystal structure of K2TlF4, from Alexandria via LeMat-Bulk.

Symmetry: I4/mmm

Lattice parameters (Å, degrees): 4.684 4.684 7.649 72.17 72.17 90.00
Fractional positions:
Tl 0.000 0.000 0.000
K 0.355 0.355 0.290
K 0.645 0.645 0.710
F 0.173 0.173 0.655
F 0.827 0.827 0.345
F 0.000 0.500 0.000
F 0.500 0.000 0.000

---

*one* takes first place; second place is 0.9 kJ/mol of atoms up.

---

*one*
The following is a PBE-GGA calculation of an optimized crystal structure of KTlF4, from Alexandria via LeMat-Bulk.

Symmetry: C2/c

Lattice parameters (Å, degrees): 6.356 5.742 7.185 110.62 113.55 96.14
Fractional positions:
K 0.363 0.613 0.225
K 0.637 0.387 0.775
Tl 0.097 0.847 0.694
Tl 0.903 0.153 0.306
F 0.953 0.258 0.068
F 0.615 0.810 0.068
F 0.234 0.507 0.558
F 0.766 0.493 0.442
F 0.176 0.949 0.442
F 0.385 0.190 0.932
F 0.824 0.051 0.558
F 0.047 0.742 0.932

---

*two*
The following is a PBE-GGA calculation of an optimized crystal structure of KTlF4, from Alexandria via LeMat-Bulk.

Symmetry: P3_1

Lattice parameters (Å, degrees): 8.217 8.217 10.372 90.00 90.00 120.00
Fractional positions:
F 0.940 0.260 0.754
F 0.320 0.060 0.421
F 0.740 0.680 0.088
F 0.528 0.878 0.731
F 0.350 0.472 0.397
F 0.122 0.650 0.064
F 0.673 0.729 0.528
F 0.056 0.327 0.195
F 0.271 0.944 0.861
F 0.652 0.118 0.541
F 0.465 0.348 0.208
F 0.882 0.535 0.875
F 0.721 0.195 0.030
F 0.474 0.279 0.697
F 0.805 0.526 0.364
F 0.200 0.710 0.570
F 0.511 0.800 0.237
F 0.290 0.489 0.904
F 0.795 0.816 0.821
F 0.021 0.205 0.488
F 0.184 0.979 0.155
F 0.050 0.112 0.974
F 0.063 0.950 0.641
F 0.888 0.937 0.308
K 0.516 0.831 0.981
K 0.315 0.484 0.648
K 0.169 0.685 0.315
K 0.683 0.169 0.290
K 0.485 0.317 0.957
K 0.831 0.515 0.624
Tl 0.006 0.362 0.970
Tl 0.357 0.994 0.637
Tl 0.638 0.643 0.303
Tl 0.819 0.997 0.639
Tl 0.178 0.181 0.305
Tl 0.003 0.822 0.972

---

*two* takes first place; second place is 1.8 kJ/mol of atoms up.

---

*one*
The following is a PBE-GGA calculation of an optimized crystal structure of KTlF2, from Alexandria via LeMat-Bulk.

Symmetry: Fm-3m

Lattice parameters (Å, degrees): 4.770 4.770 4.770 60.00 60.00 60.00
Fractional positions:
Tl 0.500 0.500 0.500
K 0.000 0.000 0.000
F 0.250 0.250 0.250
F 0.750 0.750 0.750

---

*two*
The following is a PBE-GGA calculation of an optimized crystal structure of KTlF2, from Alexandria via LeMat-Bulk.

Symmetry: I-42d

Lattice parameters (Å, degrees): 6.063 6.063 7.371 65.72 65.72 90.00
Fractional positions:
Tl 0.000 0.000 0.000
Tl 0.750 0.250 0.500
K 0.500 0.500 0.000
K 0.250 0.750 0.500
F 0.617 0.125 0.250
F 0.133 0.625 0.250
F 0.375 0.383 0.750
F 0.875 0.867 0.750

---

*three*
The following is a PBE-GGA calculation of an optimized crystal structure of KTlF2, from Alexandria via LeMat-Bulk.

Symmetry: R3m

Lattice parameters (Å, degrees): 3.807 3.807 7.102 74.45 74.45 60.00
Fractional positions:
K 0.668 0.668 0.996
Tl 0.499 0.499 0.504
F 0.078 0.078 0.765
F 0.255 0.255 0.235

---

*three* takes first place; second place is 2.3 kJ/mol of atoms up.

---

*one*
The following is a PBE-GGA calculation of an optimized crystal structure of KTlF2, from Alexandria via LeMat-Bulk.

Symmetry: P4/mmm

Lattice parameters (Å, degrees): 3.331 3.331 6.779 90.00 90.00 90.00
Fractional positions:
Tl 0.500 0.500 0.000
K 0.500 0.500 0.500
F 0.000 0.000 0.736
F 0.000 0.000 0.264

---

*two*
The following is a PBE-GGA calculation of an optimized crystal structure of KTlF2, from Alexandria via LeMat-Bulk.

Symmetry: R-3m

Lattice parameters (Å, degrees): 3.895 3.895 6.861 89.99 106.50 120.02
Fractional positions:
K 0.000 0.000 0.000
Tl 0.000 0.500 0.500
F 0.510 0.255 0.765
F 0.490 0.745 0.235

---

*two* takes first place; second place is 10.1 kJ/mol of atoms up.

---

*one*
The following is a PBE-GGA calculation of an optimized crystal structure of K2TlF, from Alexandria via LeMat-Bulk.

Symmetry: P4/mmm

Lattice parameters (Å, degrees): 3.446 3.446 9.113 90.00 90.00 90.00
Fractional positions:
Tl 0.500 0.500 0.500
K 0.000 0.000 0.825
K 0.000 0.000 0.175
F 0.500 0.500 0.000

---

*two*
The following is a PBE-GGA calculation of an optimized crystal structure of K2TlF, from Alexandria via LeMat-Bulk.

Symmetry: Fm-3m

Lattice parameters (Å, degrees): 5.783 5.783 5.783 60.00 60.00 60.00
Fractional positions:
Tl 0.500 0.500 0.500
K 0.250 0.250 0.250
K 0.750 0.750 0.750
F 0.000 0.000 0.000

---

*three*
The following is a PBE-GGA calculation of an optimized crystal structure of K2TlF, from Alexandria via LeMat-Bulk.

Symmetry: R-3m

Lattice parameters (Å, degrees): 3.798 3.798 10.353 79.43 79.43 60.00
Fractional positions:
Tl 0.000 0.000 0.000
K 0.114 0.114 0.658
K 0.886 0.886 0.342
F 0.500 0.500 0.500

---

*one* takes first place; second place is 2.0 kJ/mol of atoms up.

---

*one*
The following is a PBE-GGA calculation of an optimized crystal structure of K2TlF3, from Alexandria via LeMat-Bulk.

Symmetry: Cmmm

Lattice parameters (Å, degrees): 4.108 5.442 6.855 113.39 90.00 90.00
Fractional positions:
K 0.500 0.355 0.710
K 0.500 0.645 0.290
Tl 0.000 0.000 0.000
F 0.500 0.849 0.698
F 0.500 0.151 0.302
F 0.000 0.500 0.000

---

*two*
The following is a PBE-GGA calculation of an optimized crystal structure of K2TlF3, from Alexandria via LeMat-Bulk.

Symmetry: C2/m

Lattice parameters (Å, degrees): 6.733 6.763 6.732 80.44 60.00 70.60
Fractional positions:
K 0.000 0.000 0.000
K 0.500 0.500 0.000
K 0.832 0.500 0.335
K 0.168 0.500 0.665
Tl 0.333 0.000 0.333
Tl 0.667 0.000 0.667
F 0.588 0.260 0.326
F 0.760 0.742 0.000
F 0.412 0.740 0.674
F 0.087 0.740 0.326
F 0.913 0.260 0.674
F 0.240 0.258 0.000

---

*two* takes first place; second place is 4.5 kJ/mol of atoms up.